An optimized crystal structure of InAg2P. Source: Alexandria, functional GGA-PBE.

Properties
**DFT formation energy**: 18.6 kJ per mole of atoms
**Mass density**: 7.92 Mg/m³
**Distance to the lowest polymorph of the same formula**: 35 meV per atom
**N(E_F)**: 0.850 states/eV/f.u.
**E**: -13.08 eV per formula unit

Geometry as extended XYZ:
```
4
Lattice="5.2885 -0.0369 -0.0267 2.0646 4.8690 0.0267 -3.6601 -2.4410 2.9351" Properties=species:S:1:pos:R:3 pbc="T T T"
P 1.0405 2.4220 1.4809
Ag 7.3528 4.8319 0.0000
Ag 3.6768 2.4162 0.0000
In 2.6524 -0.0309 1.4542
```

An optimized crystal structure of MnCd2Re. Source: Alexandria, functional GGA-PBE.

Properties
**DFT formation energy**: 103.0 kJ per mole of atoms
**Mass density**: 11.82 Mg/m³
**Distance to the lowest polymorph of the same formula**: 827 meV per atom
**N(E_F)**: 5.703 states/eV/f.u.
**E**: -19.18 eV per formula unit

Geometry as extended XYZ:
```
4
Lattice="0.0000 3.1990 3.1990 3.1990 0.0000 3.1990 3.1990 3.1990 0.0000" Properties=species:S:1:pos:R:3 pbc="T T T"
Mn 0.0000 0.0000 0.0000
Re 3.1990 3.1990 3.1990
Cd 1.5995 1.5995 1.5995
Cd 4.7984 4.7984 4.7984
```

An optimized crystal structure of Ge3Pt2. Source: Alexandria, functional GGA-PBE.

Properties
**DFT formation energy**: -41.7 kJ per mole of atoms
**Mass density**: 11.17 Mg/m³
**N(E_F)**: 0.725 states/eV/f.u.
**E**: -28.09 eV per formula unit

Geometry as extended XYZ:
```
20
Lattice="3.4874 0.0000 0.0000 0.0000 6.2611 0.0000 0.0000 0.0000 16.5573" Properties=species:S:1:pos:R:3 pbc="T T T"
Pt 2.6156 4.4463 13.7326
Pt 0.8719 1.3158 11.1034
Pt 0.8719 1.8148 2.8248
Pt 0.8719 1.9107 8.1665
Pt 2.6156 4.3505 8.3908
Pt 2.6156 5.0412 0.1121
Pt 2.6156 4.9454 5.4539
Pt 0.8719 1.2199 16.4452
Ge 2.6156 0.3885 9.4497
Ge 2.6156 2.5629 6.4260
Ge 0.8719 5.6935 1.8527
Ge 2.6156 2.1571 12.7064
Ge 0.8719 5.8726 7.1077
Ge 0.8719 3.5191 15.3864
Ge 0.8719 3.6982 10.1314
Ge 2.6156 2.7420 1.1710
Ge 2.6156 0.9734 4.4277
Ge 2.6156 0.5677 14.7046
Ge 0.8719 4.1040 3.8510
Ge 0.8719 5.2877 12.1296
```

Question: What is the formula in the first record?
Answer: InAg2P

Question: Which formula does entry 2 have?
Answer: MnCd2Re

Question: The lowest DFT formation energy belongs to which entry?
Answer: Ge3Pt2